# AlFe2CoMo PBE optimized geometry
# Formation enthalpy at 0 K: 1.38 eV per atom
# E: -6.3412 eV/atom
# Energy above the most stable polymorph in this dataset: 24.2 kJ/mol of atoms
# Calculated density: 5.7 g cm⁻³
data_AlFe2CoMo
_chemical_formula_sum 'Al1 Fe2 Co1 Mo1'
_space_group_name_H-M_alt 'P 4/m m m'
_space_group_IT_number 123
_space_group_name_Hall '-P 4 2'
_cell_length_a 4.4133
_cell_length_b 4.4133
_cell_length_c 4.4174
_cell_angle_alpha 90.00
_cell_angle_beta 90.00
_cell_angle_gamma 90.00
loop_
_atom_site_label
_atom_site_type_symbol
_atom_site_fract_x
_atom_site_fract_y
_atom_site_fract_z
Al1 Al 0.0000 0.0000 0.0000
Fe1 Fe 0.0000 0.5000 0.5000
Co1 Co 0.5000 0.5000 0.0000
Mo1 Mo 0.5000 0.5000 0.5000